KIrOs4 | PBE | relaxed Values from VASP.

Quantum ESPRESSO input file:
```
&SYSTEM
  ibrav = 0, nat = 6, ntyp = 3
/
ATOMIC_SPECIES
K 39.10 K.upf
Ir 192.22 Ir.upf
Os 190.23 Os.upf
CELL_PARAMETERS angstrom
0.0000 3.7052 3.7052
3.7052 0.0000 3.7052
3.7052 3.7052 0.0000
ATOMIC_POSITIONS angstrom
K 0.0000 0.0000 0.0000
Ir 1.8526 1.8526 1.8526
Os 4.6282 2.7822 2.7822
Os 2.7822 4.6282 2.7822
Os 2.7822 2.7822 4.6282
Os 4.6282 4.6282 4.6282
```

K2IrOs | PBE | relaxed Values from VASP.

Quantum ESPRESSO input file:
```
&SYSTEM
  ibrav = 0, nat = 4, ntyp = 3
/
ATOMIC_SPECIES
K 39.10 K.upf
Ir 192.22 Ir.upf
Os 190.23 Os.upf
CELL_PARAMETERS angstrom
3.4130 0.0000 0.0000
0.0000 3.4130 0.0000
0.0000 0.0000 10.2391
ATOMIC_POSITIONS angstrom
K 0.0000 0.0000 0.0000
K 1.7065 1.7065 4.3811
Ir 1.7065 1.7065 7.7170
Os 0.0000 0.0000 6.9473
```

no.,total magnetization (μB/cell),energy of formation from the pure elements (eV per atom)
1,0.000,1.230
2,0.002,0.680